No. 1
Crystalline ErNpTeS2 at its relaxed geometry. Source: Alexandria, functional PBE.

a b c (Å): 4.4131 4.4131 7.3985
angles (deg): 107.35 107.35 90.00
Fractional positions:
S 0.2515 0.7515 0.5030
S 0.7515 0.2515 0.5030
Te 0.5028 0.5028 0.0056
Np 0.1349 0.1349 0.2698
Er 0.8593 0.8593 0.7187

Results
calculated density	7.6	Mg/m³
energy	-7.01	eV per atom
symmetry	I4mm, No. 107
total magnetic moment	4.0	μB per formula unit

No. 2
Crystalline RbNd3Pu2Te6 at its relaxed geometry. Source: Alexandria, functional PBE.

a b c (Å): 4.5036 9.2659 10.2242
angles (deg): 103.39 102.72 90.00
Fractional positions:
Te 0.6739 0.0890 0.3478
Te 0.3329 0.4201 0.6658
Te 0.9969 0.7314 0.9938
Nd 0.5000 0.5000 0.0000
Te 0.6671 0.5799 0.3342
Pu 0.1689 0.3364 0.3378
Te 0.0031 0.2686 0.0062
Nd 0.8368 0.1715 0.6737
Nd 0.1632 0.8285 0.3263
Te 0.3261 0.9110 0.6522
Pu 0.8311 0.6636 0.6622
Rb 0.5000 0.0000 0.0000

Results
calculated density	7.3	Mg/m³
energy	-6.49	eV per atom
symmetry	C2/m, No. 12
total magnetic moment	12.0	μB per formula unit

No. 3
Crystalline SrNi3B at its relaxed geometry. Source: Alexandria, functional PBE.

a b c (Å): 4.1073 4.1073 4.1073
angles (deg): 90.00 90.00 90.00
Fractional positions:
B 0.0000 0.0000 0.0000
Ni 0.5000 0.0000 0.0000
Ni 0.0000 0.0000 0.5000
Sr 0.5000 0.5000 0.5000
Ni 0.0000 0.5000 0.0000

Results
calculated density	6.6	Mg/m³
ΔH_f (0 K)	-0.04	eV per atom
symmetry	Pm-3m, No. 221
total magnetic moment	0.0	μB per formula unit